Entry 1:
# PBE-GGA HfTe2CO, optimized geometry
# Total magnetization ... 0.000 μB per cell
# Total energy ... -4.96 eV/atom
data_HfTe2CO
_space_group_name_H-M_alt 'P 4/m m m'
_space_group_IT_number 123
_space_group_name_Hall '-P 4 2'
_cell_length_a 5.453
_cell_length_b 5.453
_cell_length_c 4.246
_cell_angle_alpha 90.00
_cell_angle_beta 90.00
_cell_angle_gamma 90.00
loop_
_atom_site_label
_atom_site_fract_x
_atom_site_fract_y
_atom_site_fract_z
Hf1 0.000 0.000 0.000
Te1 0.000 0.500 0.000
C1 0.000 0.000 0.500
O1 0.500 0.500 0.500

***

Entry 2:
# PBE-GGA Nd2LuAu, optimized geometry
# Total magnetization ... 0.000 μB per cell
# Total energy ... -4.32 eV/atom
# Relative energy among the computed polymorphs ... 343 meV per atom
# Calculated formation energy ... 0.04 eV per formula unit
data_Nd2LuAu
_space_group_name_H-M_alt 'R -3 m'
_space_group_IT_number 166
_space_group_name_Hall '-R 3 2"'
_cell_length_a 3.5042
_cell_length_b 3.5042
_cell_length_c 34.5120
_cell_angle_alpha 90.00
_cell_angle_beta 90.00
_cell_angle_gamma 120.00
loop_
_atom_site_label
_atom_site_fract_x
_atom_site_fract_y
_atom_site_fract_z
Nd1 0.0000 0.0000 0.0978
Lu1 0.0000 0.0000 0.0000
Au1 0.0000 0.0000 0.5000

***

Entry 3:
# PBE-GGA Er8Zn2Pd, optimized geometry
# Total magnetization ... 0.000 μB per cell
# Total energy ... -4.28 eV/atom
# Calculated formation energy ... -2.79 eV per formula unit
data_Er8Zn2Pd
_space_group_name_H-M_alt 'C 1 2/m 1'
_space_group_IT_number 12
_space_group_name_Hall '-C 2y'
_cell_length_a 17.427
_cell_length_b 5.041
_cell_length_c 6.719
_cell_angle_alpha 90.00
_cell_angle_beta 104.54
_cell_angle_gamma 90.00
loop_
_atom_site_label
_atom_site_fract_x
_atom_site_fract_y
_atom_site_fract_z
Er1 0.027 0.000 0.277
Er2 0.091 0.500 0.949
Er3 0.161 0.500 0.469
Er4 0.202 0.000 0.820
Zn1 0.189 0.000 0.230
Pd1 0.000 0.500 0.500

***

Entry 4:
# PBE-GGA Sc2B2PdRh5, optimized geometry
# Total magnetization ... 0.000 μB per cell
# Total energy ... -7.48 eV/atom
# Calculated formation energy ... -6.81 eV per formula unit
data_Sc2B2PdRh5
_space_group_name_H-M_alt 'P 4/m b m'
_space_group_IT_number 127
_space_group_name_Hall '-P 4 2ab'
_cell_length_a 9.347
_cell_length_b 9.347
_cell_length_c 3.154
_cell_angle_alpha 90.00
_cell_angle_beta 90.00
_cell_angle_gamma 90.00
loop_
_atom_site_label
_atom_site_fract_x
_atom_site_fract_y
_atom_site_fract_z
Sc1 0.176 0.324 0.000
B1 0.125 0.625 0.000
Pd1 0.000 0.000 0.000
Rh1 0.000 0.500 0.500
Rh2 0.072 0.777 0.500

***

Entry 5:
# PBE-GGA AcSbPt2, optimized geometry
# Total magnetization ... 0.000 μB per cell
# Total energy ... -5.96 eV/atom
# Relative energy among the computed polymorphs ... 0 meV per atom
data_AcSbPt2
_space_group_name_H-M_alt 'P 41'
_space_group_IT_number 76
_space_group_name_Hall 'P 4w'
_cell_length_a 4.573
_cell_length_b 4.573
_cell_length_c 19.954
_cell_angle_alpha 90.00
_cell_angle_beta 90.00
_cell_angle_gamma 90.00
loop_
_atom_site_label
_atom_site_fract_x
_atom_site_fract_y
_atom_site_fract_z
Ac1 0.104 0.864 0.000
Sb1 0.328 0.364 0.847
Pt1 0.137 0.566 0.139
Pt2 0.357 0.634 0.467

***

Entry 6:
# PBE-GGA LaTb3Y, optimized geometry
# Total magnetization ... 0.000 μB per cell
# Total energy ... -5.03 eV/atom
# Relative energy among the computed polymorphs ... 0 meV per atom
# Calculated formation energy ... 0.13 eV per formula unit
data_LaTb3Y
_space_group_name_H-M_alt 'P -1'
_space_group_IT_number 2
_space_group_name_Hall '-P 1'
_cell_length_a 6.231
_cell_length_b 6.242
_cell_length_c 9.526
_cell_angle_alpha 102.46
_cell_angle_beta 109.08
_cell_angle_gamma 99.48
loop_
_atom_site_label
_atom_site_fract_x
_atom_site_fract_y
_atom_site_fract_z
La1 0.201 0.251 0.151
Tb1 0.001 0.249 0.748
Tb2 0.400 0.249 0.550
Tb3 0.403 0.751 0.052
Y1 0.198 0.750 0.647

***

Entry 7:
# PBE-GGA TlTe2I, optimized geometry
# Total magnetization ... 0.000 μB per cell
# Total energy ... -2.33 eV/atom
# Relative energy among the computed polymorphs ... 171 meV per atom
data_TlTe2I
_space_group_name_H-M_alt 'I -4 2 d'
_space_group_IT_number 122
_space_group_name_Hall 'I -4 2bw'
_cell_length_a 8.144
_cell_length_b 8.144
_cell_length_c 9.973
_cell_angle_alpha 90.00
_cell_angle_beta 90.00
_cell_angle_gamma 90.00
loop_
_atom_site_label
_atom_site_fract_x
_atom_site_fract_y
_atom_site_fract_z
Tl1 0.000 0.000 0.000
Te1 0.219 0.250 0.125
I1 0.000 0.000 0.500

***

Entry 8:
# PBE-GGA Er12BiPd6, optimized geometry
# Total magnetization ... 0.000 μB per cell
# Total energy ... -5.39 eV/atom
# Calculated formation energy ... -12.53 eV per formula unit
data_Er12BiPd6
_space_group_name_H-M_alt 'I m -3'
_space_group_IT_number 204
_space_group_name_Hall '-I 2 2 3'
_cell_length_a 9.920
_cell_length_b 9.920
_cell_length_c 9.920
_cell_angle_alpha 90.00
_cell_angle_beta 90.00
_cell_angle_gamma 90.00
loop_
_atom_site_label
_atom_site_fract_x
_atom_site_fract_y
_atom_site_fract_z
Er1 0.000 0.300 0.185
Bi1 0.000 0.000 0.000
Pd1 0.000 0.137 0.500

***

Entry 9:
# PBE-GGA NaHgF4, optimized geometry
# Total magnetization ... 1.448 μB per cell
# Total energy ... -3.20 eV/atom
# Relative energy among the computed polymorphs ... 5 meV per atom
data_NaHgF4
_space_group_name_H-M_alt 'P n c 2'
_space_group_IT_number 30
_space_group_name_Hall 'P 2 -2bc'
_cell_length_a 5.684
_cell_length_b 5.310
_cell_length_c 6.439
_cell_angle_alpha 90.00
_cell_angle_beta 90.00
_cell_angle_gamma 90.00
loop_
_atom_site_label
_atom_site_fract_x
_atom_site_fract_y
_atom_site_fract_z
Na1 0.000 0.000 0.000
Hg1 0.500 0.000 0.316
F1 0.187 0.203 0.293
F2 0.339 0.741 0.558

***

Entry 10:
# PBE-GGA LiLaAl, optimized geometry
# Total magnetization ... 0.000 μB per cell
# Total energy ... -3.60 eV/atom
# Relative energy among the computed polymorphs ... 163 meV per atom
# Calculated formation energy ... -0.22 eV per formula unit
data_LiLaAl
_space_group_name_H-M_alt 'I m m 2'
_space_group_IT_number 44
_space_group_name_Hall 'I 2 -2'
_cell_length_a 3.203
_cell_length_b 4.865
_cell_length_c 9.330
_cell_angle_alpha 90.00
_cell_angle_beta 90.00
_cell_angle_gamma 90.00
loop_
_atom_site_label
_atom_site_fract_x
_atom_site_fract_y
_atom_site_fract_z
Li1 0.000 0.000 0.000
La1 0.000 0.000 0.321
Al1 0.000 0.000 0.665